1.
# PBE-GGA TlTe2CN, relaxed
data_TlTe2CN
_chemical_formula_sum 'Tl1 Te2 C1 N1'
_symmetry_space_group_name_H-M 'P 1'
_symmetry_Int_Tables_number 1
_symmetry_space_group_name_Hall 'P 1'
_cell_length_a 5.8972
_cell_length_b 5.8972
_cell_length_c 4.2528
_cell_angle_alpha 90.00
_cell_angle_beta 90.00
_cell_angle_gamma 90.00
loop_
_atom_site_label
_atom_site_fract_x
_atom_site_fract_y
_atom_site_fract_z
Tl1 0.0000 0.0000 0.0000
Te1 0.0000 0.5000 0.0000
Te2 0.5000 0.0000 0.0000
C1 0.5000 0.5000 0.5000
N1 0.0000 0.0000 0.5000
# E_form (uncorrected) (meV/atom): 2521.1


2.
# PBE-GGA TlTeCN2, relaxed
data_TlTeCN2
_chemical_formula_sum 'Tl1 Te1 C1 N2'
_symmetry_space_group_name_H-M 'P 1'
_symmetry_Int_Tables_number 1
_symmetry_space_group_name_Hall 'P 1'
_cell_length_a 4.0984
_cell_length_b 4.0984
_cell_length_c 4.5951
_cell_angle_alpha 90.00
_cell_angle_beta 90.00
_cell_angle_gamma 90.00
loop_
_atom_site_label
_atom_site_fract_x
_atom_site_fract_y
_atom_site_fract_z
Tl1 0.0000 0.0000 0.0000
Te1 0.5000 0.5000 0.0000
C1 0.5000 0.5000 0.5000
N1 0.0000 0.5000 0.5000
N2 0.5000 0.0000 0.5000
# E_form (uncorrected) (meV/atom): 2394.7


3.
# PBE-GGA Tm8Te4C3N, relaxed
data_Tm8Te4C3N
_chemical_formula_sum 'Tm8 Te4 C3 N1'
_symmetry_space_group_name_H-M 'P 1'
_symmetry_Int_Tables_number 1
_symmetry_space_group_name_Hall 'P 1'
_cell_length_a 8.1243
_cell_length_b 8.1243
_cell_length_c 8.1243
_cell_angle_alpha 55.13
_cell_angle_beta 55.13
_cell_angle_gamma 55.13
loop_
_atom_site_label
_atom_site_fract_x
_atom_site_fract_y
_atom_site_fract_z
Tm1 0.2266 0.7291 0.7291
Tm2 0.2292 0.2292 0.2292
Tm3 0.2709 0.2709 0.7734
Tm4 0.2709 0.7734 0.2709
Tm5 0.7291 0.2266 0.7291
Tm6 0.7291 0.7291 0.2266
Tm7 0.7708 0.7708 0.7708
Tm8 0.7734 0.2709 0.2709
Te1 0.0000 0.0000 0.0000
Te2 0.0000 0.5000 0.5000
Te3 0.5000 0.0000 0.5000
Te4 0.5000 0.5000 0.0000
C1 0.0000 0.0000 0.5000
C2 0.0000 0.5000 0.0000
C3 0.5000 0.0000 0.0000
N1 0.5000 0.5000 0.5000
# E_form (uncorrected) (meV/atom): -1019.1


4.
# PBE-GGA Tm6Te3C2N, relaxed
data_Tm6Te3C2N
_chemical_formula_sum 'Tm6 Te3 C2 N1'
_symmetry_space_group_name_H-M 'P 1'
_symmetry_Int_Tables_number 1
_symmetry_space_group_name_Hall 'P 1'
_cell_length_a 6.4943
_cell_length_b 6.4943
_cell_length_c 7.2004
_cell_angle_alpha 98.65
_cell_angle_beta 98.65
_cell_angle_gamma 119.99
loop_
_atom_site_label
_atom_site_fract_x
_atom_site_fract_y
_atom_site_fract_z
Tm1 0.1048 0.4383 0.8150
Tm2 0.2280 0.2280 0.1854
Tm3 0.4383 0.1048 0.8150
Tm4 0.5617 0.8952 0.1850
Tm5 0.7720 0.7720 0.8146
Tm6 0.8952 0.5617 0.1850
Te1 0.0000 0.0000 0.5000
Te2 0.3331 0.6669 0.5000
Te3 0.6669 0.3331 0.5000
C1 0.1667 0.8333 0.0000
C2 0.8333 0.1667 0.0000
N1 0.5000 0.5000 0.0000
# E_form (uncorrected) (meV/atom): -1062.8


5.
# PBE-GGA VTeCN2, relaxed
data_VTeCN2
_chemical_formula_sum 'V1 Te1 C1 N2'
_symmetry_space_group_name_H-M 'P 1'
_symmetry_Int_Tables_number 1
_symmetry_space_group_name_Hall 'P 1'
_cell_length_a 3.7902
_cell_length_b 3.7902
_cell_length_c 4.3193
_cell_angle_alpha 90.00
_cell_angle_beta 90.00
_cell_angle_gamma 90.00
loop_
_atom_site_label
_atom_site_fract_x
_atom_site_fract_y
_atom_site_fract_z
V1 0.0000 0.0000 0.0000
Te1 0.5000 0.5000 0.0000
C1 0.5000 0.5000 0.5000
N1 0.0000 0.5000 0.5000
N2 0.5000 0.0000 0.5000
# E_form (uncorrected) (meV/atom): 2233.3


6.
# PBE-GGA VTe2CN, relaxed
data_VTe2CN
_chemical_formula_sum 'V1 Te2 C1 N1'
_symmetry_space_group_name_H-M 'P 1'
_symmetry_Int_Tables_number 1
_symmetry_space_group_name_Hall 'P 1'
_cell_length_a 6.0720
_cell_length_b 6.0720
_cell_length_c 2.6331
_cell_angle_alpha 90.00
_cell_angle_beta 90.00
_cell_angle_gamma 90.00
loop_
_atom_site_label
_atom_site_fract_x
_atom_site_fract_y
_atom_site_fract_z
V1 0.0000 0.0000 0.0000
Te1 0.0000 0.5000 0.5000
Te2 0.5000 0.0000 0.5000
C1 0.5000 0.5000 0.5000
N1 0.5000 0.5000 0.0000
# E_form (uncorrected) (meV/atom): 1094.3


7.
# PBE-GGA VTe2CN, relaxed
data_VTe2CN
_chemical_formula_sum 'V1 Te2 C1 N1'
_symmetry_space_group_name_H-M 'P 1'
_symmetry_Int_Tables_number 1
_symmetry_space_group_name_Hall 'P 1'
_cell_length_a 5.2345
_cell_length_b 5.2345
_cell_length_c 3.6039
_cell_angle_alpha 90.00
_cell_angle_beta 90.00
_cell_angle_gamma 90.00
loop_
_atom_site_label
_atom_site_fract_x
_atom_site_fract_y
_atom_site_fract_z
V1 0.0000 0.0000 0.0000
Te1 0.0000 0.5000 0.0000
Te2 0.5000 0.0000 0.0000
C1 0.5000 0.5000 0.5000
N1 0.0000 0.0000 0.5000
# E_form (uncorrected) (meV/atom): 1303.6


8.
# PBE-GGA VTeCN2, relaxed
data_VTeCN2
_chemical_formula_sum 'V1 Te1 C1 N2'
_symmetry_space_group_name_H-M 'P 1'
_symmetry_Int_Tables_number 1
_symmetry_space_group_name_Hall 'P 1'
_cell_length_a 3.6358
_cell_length_b 3.6358
_cell_length_c 5.8012
_cell_angle_alpha 90.00
_cell_angle_beta 90.00
_cell_angle_gamma 90.00
loop_
_atom_site_label
_atom_site_fract_x
_atom_site_fract_y
_atom_site_fract_z
V1 0.0000 0.0000 0.0000
Te1 0.0000 0.0000 0.5000
C1 0.5000 0.5000 0.5000
N1 0.0000 0.5000 0.0000
N2 0.5000 0.0000 0.0000
# E_form (uncorrected) (meV/atom): 1304.0


9.
# PBE-GGA Te2WCN, relaxed
data_Te2WCN
_chemical_formula_sum 'Te2 W1 C1 N1'
_symmetry_space_group_name_H-M 'P 1'
_symmetry_Int_Tables_number 1
_symmetry_space_group_name_Hall 'P 1'
_cell_length_a 6.0233
_cell_length_b 6.0233
_cell_length_c 2.6174
_cell_angle_alpha 90.00
_cell_angle_beta 90.00
_cell_angle_gamma 90.00
loop_
_atom_site_label
_atom_site_fract_x
_atom_site_fract_y
_atom_site_fract_z
Te1 0.0000 0.5000 0.0000
Te2 0.5000 0.0000 0.0000
W1 0.0000 0.0000 0.5000
C1 0.5000 0.5000 0.0000
N1 0.5000 0.5000 0.5000
# E_form (uncorrected) (meV/atom): 1515.9


10.
# PBE-GGA Te2WCN, relaxed
data_Te2WCN
_chemical_formula_sum 'Te2 W1 C1 N1'
_symmetry_space_group_name_H-M 'P 1'
_symmetry_Int_Tables_number 1
_symmetry_space_group_name_Hall 'P 1'
_cell_length_a 5.3594
_cell_length_b 5.3594
_cell_length_c 3.8031
_cell_angle_alpha 90.00
_cell_angle_beta 90.00
_cell_angle_gamma 90.00
loop_
_atom_site_label
_atom_site_fract_x
_atom_site_fract_y
_atom_site_fract_z
Te1 0.0000 0.5000 0.0000
Te2 0.5000 0.0000 0.0000
W1 0.0000 0.0000 0.0000
C1 0.5000 0.5000 0.5000
N1 0.0000 0.0000 0.5000
# E_form (uncorrected) (meV/atom): 1544.1


11.
# PBE-GGA Y3TeCN, relaxed
data_Y3TeCN
_chemical_formula_sum 'Y6 Te2 C2 N2'
_symmetry_space_group_name_H-M 'P 1'
_symmetry_Int_Tables_number 1
_symmetry_space_group_name_Hall 'P 1'
_cell_length_a 7.3235
_cell_length_b 3.8778
_cell_length_c 10.0922
_cell_angle_alpha 90.00
_cell_angle_beta 110.58
_cell_angle_gamma 90.00
loop_
_atom_site_label
_atom_site_fract_x
_atom_site_fract_y
_atom_site_fract_z
Y1 0.0247 0.2500 0.3705
Y2 0.2983 0.2500 0.9371
Y3 0.4261 0.7500 0.6769
Y4 0.5739 0.2500 0.3231
Y5 0.7017 0.7500 0.0629
Y6 0.9753 0.7500 0.6295
Te1 0.1938 0.7500 0.1934
Te2 0.8062 0.2500 0.8066
C1 0.1963 0.2500 0.6128
C2 0.8037 0.7500 0.3872
N1 0.4039 0.7500 0.8834
N2 0.5961 0.2500 0.1166
# E_form (uncorrected) (meV/atom): -1043.1


12.
# PBE-GGA ZnTe2CN, relaxed
data_ZnTe2CN
_chemical_formula_sum 'Zn1 Te2 C1 N1'
_symmetry_space_group_name_H-M 'P 1'
_symmetry_Int_Tables_number 1
_symmetry_space_group_name_Hall 'P 1'
_cell_length_a 5.3910
_cell_length_b 5.3910
_cell_length_c 3.5834
_cell_angle_alpha 90.00
_cell_angle_beta 90.00
_cell_angle_gamma 90.00
loop_
_atom_site_label
_atom_site_fract_x
_atom_site_fract_y
_atom_site_fract_z
Zn1 0.0000 0.0000 0.0000
Te1 0.0000 0.5000 0.0000
Te2 0.5000 0.0000 0.0000
C1 0.5000 0.5000 0.5000
N1 0.0000 0.0000 0.5000
# E_form (uncorrected) (meV/atom): 2034.1


Copy entry 4 word for word.
# PBE-GGA Tm6Te3C2N, relaxed
data_Tm6Te3C2N
_chemical_formula_sum 'Tm6 Te3 C2 N1'
_symmetry_space_group_name_H-M 'P 1'
_symmetry_Int_Tables_number 1
_symmetry_space_group_name_Hall 'P 1'
_cell_length_a 6.4943
_cell_length_b 6.4943
_cell_length_c 7.2004
_cell_angle_alpha 98.65
_cell_angle_beta 98.65
_cell_angle_gamma 119.99
loop_
_atom_site_label
_atom_site_fract_x
_atom_site_fract_y
_atom_site_fract_z
Tm1 0.1048 0.4383 0.8150
Tm2 0.2280 0.2280 0.1854
Tm3 0.4383 0.1048 0.8150
Tm4 0.5617 0.8952 0.1850
Tm5 0.7720 0.7720 0.8146
Tm6 0.8952 0.5617 0.1850
Te1 0.0000 0.0000 0.5000
Te2 0.3331 0.6669 0.5000
Te3 0.6669 0.3331 0.5000
C1 0.1667 0.8333 0.0000
C2 0.8333 0.1667 0.0000
N1 0.5000 0.5000 0.0000
# E_form (uncorrected) (meV/atom): -1062.8